Density functional theory data (GGA-PBE) for a relaxed structure of SmY2Sc.

Lattice parameters (Å, degrees): 3.591 11.165 6.168 90.00 90.00 90.00
Space group Imm2 (No. 44)
Inequivalent atoms, fractional coordinates:
Sm 0.000 0.000 0.000
Y 0.000 0.243 0.654
Sc 0.000 0.500 0.991

## Properties
E above lowest polymorph: 0 meV per atom
E_tot: -5.968 eV/atom
DFT formation energy: 0.027 eV per atom
crystal system: orthorhombic
DOS(E_F): 1.756 states/eV per atom

Density functional theory data (GGA-PBE) for a relaxed structure of Li2CuPO4.

Lattice parameters (Å, degrees): 5.042 5.421 7.975 90.00 129.21 90.00
Space group Pc (No. 7)
Inequivalent atoms, fractional coordinates:
Li 0.000 0.155 0.000
Li 0.252 0.327 0.753
Cu 0.758 0.345 0.248
P 0.504 0.170 0.500
O 0.209 0.315 0.293
O 0.384 0.098 0.990
O 0.599 0.297 0.708
O 0.822 0.168 0.510

## Properties
E above lowest polymorph: 15 meV per atom
E_tot: -6.087 eV/atom
uncorrected formation energy: -1.94 eV/atom
crystal system: monoclinic

Density functional theory data (GGA-PBE) for a relaxed structure of Ba3CaU2S9.

Lattice parameters (Å, degrees): 7.3905 7.3905 9.0890 90.00 90.00 120.00
Space group P-3m1 (No. 164)
Inequivalent atoms, fractional coordinates:
Ba 0.0000 0.0000 0.0000
Ba 0.3333 0.6667 0.6430
Ca 0.0000 0.0000 0.5000
U 0.3333 0.6667 0.1686
S 0.0000 0.5000 0.0000
S 0.1707 0.3413 0.3276

## Properties
E_tot: -6.219 eV/atom
uncorrected formation energy: -1.72 eV/atom
crystal system: trigonal
DOS(E_F): 0.258 states/eV per atom

Density functional theory data (GGA-PBE) for a relaxed structure of HfVCoTc.

Lattice parameters (Å, degrees): 6.182 6.182 6.182 90.00 90.00 90.00
Space group F-43m (No. 216)
Inequivalent atoms, fractional coordinates:
Hf 0.000 0.000 0.000
V 0.000 0.000 0.500
Co 0.250 0.250 0.250
Tc 0.250 0.250 0.750

## Properties
E_tot: -9.403 eV/atom
DFT formation energy: -0.267 eV per atom
crystal system: cubic
DOS(E_F): 0.826 states/eV per atom

Density functional theory data (GGA-PBE) for a relaxed structure of Cs3Rb12Hg5.

Lattice parameters (Å, degrees): 23.927 23.927 23.927 90.00 90.00 90.00
Space group Ia-3d (No. 230)
Inequivalent atoms, fractional coordinates:
Cs 0.000 0.250 0.125
Rb 0.050 0.054 0.632
Hg 0.000 0.000 0.000
Hg 0.000 0.250 0.375

## Properties
E_tot: -0.788 eV/atom
DFT formation energy: -0.004 eV per atom
crystal system: cubic
DOS(E_F): 0.905 states/eV per atom

Density functional theory data (GGA-PBE) for a relaxed structure of K2HIrI.

Lattice parameters (Å, degrees): 6.085 6.085 3.627 90.00 90.00 90.00
Space group P4/mmm (No. 123)
Inequivalent atoms, fractional coordinates:
K 0.000 0.500 0.000
H 0.000 0.000 0.000
Ir 0.000 0.000 0.500
I 0.500 0.500 0.500

## Properties
E_tot: -3.228 eV/atom
crystal system: tetragonal
DOS(E_F): 0.145 states/eV per atom

Density functional theory data (GGA-PBE) for a relaxed structure of TlSe2Br4.

Lattice parameters (Å, degrees): 9.495 14.473 15.447 90.00 90.00 90.00
Space group F222 (No. 22)
Inequivalent atoms, fractional coordinates:
Tl 0.000 0.000 0.000
Tl 0.250 0.250 0.250
Se 0.130 0.064 0.724
Br 0.058 0.170 0.850
Br 0.179 0.065 0.388

## Properties
E_tot: -2.547 eV/atom
uncorrected formation energy: -0.26 eV/atom
crystal system: orthorhombic
DOS(E_F): 0.421 states/eV per atom

Density functional theory data (GGA-PBE) for a relaxed structure of LiAcSbPt2.

Lattice parameters (Å, degrees): 4.293 4.293 12.019 90.00 90.00 90.00
Space group I-4m2 (No. 119)
Inequivalent atoms, fractional coordinates:
Li 0.000 0.000 0.000
Ac 0.000 0.500 0.250
Sb 0.000 0.000 0.500
Pt 0.000 0.500 0.638

## Properties
E_tot: -5.375 eV/atom
uncorrected formation energy: -0.93 eV/atom
crystal system: tetragonal
DOS(E_F): 0.680 states/eV per atom

Density functional theory data (GGA-PBE) for a relaxed structure of NdTl5S4.

Lattice parameters (Å, degrees): 18.658 4.180 8.556 90.00 109.53 90.00
Space group C2/m (No. 12)
Inequivalent atoms, fractional coordinates:
Nd 0.000 0.000 0.000
Tl 0.000 0.000 0.500
Tl 0.157 0.500 0.809
Tl 0.186 0.500 0.307
S 0.025 0.500 0.240
S 0.160 0.000 0.047

## Properties
E_tot: -4.090 eV/atom
uncorrected formation energy: -0.78 eV/atom
crystal system: monoclinic

Density functional theory data (GGA-PBE) for a relaxed structure of Y2WBr.

Lattice parameters (Å, degrees): 3.5832 3.5832 26.8117 90.00 90.00 120.00
Space group R-3m (No. 166, hexagonal axes)
Inequivalent atoms, fractional coordinates:
Y 0.0000 0.0000 0.2448
W 0.0000 0.0000 0.5000
Br 0.0000 0.0000 0.0000

## Properties
E above lowest polymorph: 109 meV per atom
E_tot: -6.970 eV/atom
uncorrected formation energy: -0.08 eV/atom
crystal system: trigonal
DOS(E_F): 1.492 states/eV per atom

Density functional theory data (GGA-PBE) for a relaxed structure of Li2InFe.

Lattice parameters (Å, degrees): 2.910 2.910 7.707 90.00 90.00 90.00
Space group P4/mmm (No. 123)
Inequivalent atoms, fractional coordinates:
Li 0.000 0.000 0.229
In 0.500 0.500 0.500
Fe 0.500 0.500 0.000

## Properties
E_tot: -3.566 eV/atom
DFT formation energy: 0.191 eV per atom
crystal system: tetragonal
DOS(E_F): 0.555 states/eV per atom

Density functional theory data (GGA-PBE) for a relaxed structure of SrIn11Ag.

Lattice parameters (Å, degrees): 5.954 15.168 8.288 90.00 107.16 90.00
Space group C2/m (No. 12)
Inequivalent atoms, fractional coordinates:
Sr 0.000 0.000 0.000
In 0.000 0.000 0.500
In 0.104 0.397 0.216
In 0.187 0.176 0.362
In 0.250 0.250 0.000
Ag 0.000 0.500 0.500

## Properties
E_tot: -2.732 eV/atom
DFT formation energy: -0.066 eV per atom
crystal system: monoclinic
DOS(E_F): 0.427 states/eV per atom

- Among the records above, which one has the lowest E_tot?
  HfVCoTc

- The highest E_tot belongs to which entry?
  Cs3Rb12Hg5

- Among the records above, which one has the lowest E_tot?
  HfVCoTc

Please write out number 4 again, unchanged.
Density functional theory data (GGA-PBE) for a relaxed structure of HfVCoTc.

Lattice parameters (Å, degrees): 6.182 6.182 6.182 90.00 90.00 90.00
Space group F-43m (No. 216)
Inequivalent atoms, fractional coordinates:
Hf 0.000 0.000 0.000
V 0.000 0.000 0.500
Co 0.250 0.250 0.250
Tc 0.250 0.250 0.750

## Properties
E_tot: -9.403 eV/atom
DFT formation energy: -0.267 eV per atom
crystal system: cubic
DOS(E_F): 0.826 states/eV per atom